## LaSm2Ag2 (PBE-GGA)

Data for a relaxed LaSm2Ag2 crystal.

Structure (CIF):
```
data_LaSm2Ag2
_symmetry_space_group_name_H-M 'P 1'
_symmetry_Int_Tables_number 1
_cell_length_a 5.327
_cell_length_b 5.006
_cell_length_c 11.417
_cell_angle_alpha 90.00
_cell_angle_beta 95.62
_cell_angle_gamma 90.00
loop_
_symmetry_equiv_pos_as_xyz
'x,y,z'
loop_
_atom_site_label
_atom_site_fract_x
_atom_site_fract_y
_atom_site_fract_z
La1 0.200 0.250 0.246
La2 0.800 0.750 0.754
Sm1 0.250 0.750 0.492
Sm2 0.342 0.250 0.886
Sm3 0.658 0.750 0.114
Sm4 0.750 0.250 0.508
Ag1 0.140 0.750 0.003
Ag2 0.276 0.250 0.634
Ag3 0.724 0.750 0.366
Ag4 0.860 0.250 0.997
```

energy of formation from the pure elements = -111 meV per atom
Fermi-level density of states = 1.14 states/eV/atom
distance to the lowest polymorph of the same formula = 87.2 meV/atom
energy = -4.125 eV per atom

## MnCuPd4 (PBE-GGA)

Data for a relaxed MnCuPd4 crystal.

Structure (CIF):
```
data_MnCuPd4
_symmetry_space_group_name_H-M 'P 1'
_symmetry_Int_Tables_number 1
_cell_length_a 9.179
_cell_length_b 9.179
_cell_length_c 7.296
_cell_angle_alpha 90.00
_cell_angle_beta 90.00
_cell_angle_gamma 162.62
loop_
_symmetry_equiv_pos_as_xyz
'x,y,z'
loop_
_atom_site_label
_atom_site_fract_x
_atom_site_fract_y
_atom_site_fract_z
Mn1 0.182 0.818 0.500
Mn2 0.818 0.182 0.000
Cu1 0.437 0.563 0.466
Cu2 0.563 0.437 0.966
Pd1 0.051 0.949 0.283
Pd2 0.306 0.694 0.312
Pd3 0.319 0.681 0.687
Pd4 0.434 0.566 0.114
Pd5 0.566 0.434 0.614
Pd6 0.681 0.319 0.187
Pd7 0.694 0.306 0.812
Pd8 0.949 0.051 0.783
```

energy of formation from the pure elements = -43 meV per atom
Fermi-level density of states = 1.01 states/eV/atom
distance to the lowest polymorph of the same formula = 111.5 meV/atom
energy = -5.716 eV per atom

## V4SiGe (PBE-GGA)

Data for a relaxed V4SiGe crystal.

Structure (CIF):
```
data_V4SiGe
_symmetry_space_group_name_H-M 'P 1'
_symmetry_Int_Tables_number 1
_cell_length_a 4.959
_cell_length_b 4.959
_cell_length_c 7.224
_cell_angle_alpha 90.24
_cell_angle_beta 90.24
_cell_angle_gamma 115.63
loop_
_symmetry_equiv_pos_as_xyz
'x,y,z'
loop_
_atom_site_label
_atom_site_fract_x
_atom_site_fract_y
_atom_site_fract_z
V1 0.055 0.303 0.419
V2 0.191 0.444 0.084
V3 0.303 0.055 0.919
V4 0.444 0.191 0.584
V5 0.556 0.809 0.416
V6 0.697 0.945 0.081
V7 0.809 0.556 0.916
V8 0.945 0.697 0.581
Si1 0.125 0.875 0.250
Si2 0.875 0.125 0.750
Ge1 0.375 0.625 0.750
Ge2 0.625 0.375 0.250
```

Fermi-level density of states = 0.52 states/eV/atom
ΔE_f (raw) = -20.8 kJ/mol of atoms
distance to the lowest polymorph of the same formula = 0.0 meV/atom
energy = -7.968 eV per atom

## RbCa2Cl (PBE-GGA)

Data for a relaxed RbCa2Cl crystal.

Structure (CIF):
```
data_RbCa2Cl
_symmetry_space_group_name_H-M 'P 1'
_symmetry_Int_Tables_number 1
_cell_length_a 6.380
_cell_length_b 6.380
_cell_length_c 6.380
_cell_angle_alpha 60.00
_cell_angle_beta 60.00
_cell_angle_gamma 60.00
loop_
_symmetry_equiv_pos_as_xyz
'x,y,z'
loop_
_atom_site_label
_atom_site_fract_x
_atom_site_fract_y
_atom_site_fract_z
Rb1 0.000 0.000 0.000
Ca1 0.250 0.250 0.250
Ca2 0.750 0.750 0.750
Cl1 0.500 0.500 0.500
```

Fermi-level density of states = 0.72 states/eV/atom
ΔE_f (raw) = -8.6 kJ/mol of atoms
distance to the lowest polymorph of the same formula = 401.2 meV/atom
energy = -1.794 eV per atom

## K4HfU3Te8 (PBE-GGA)

Data for a relaxed K4HfU3Te8 crystal.

Structure (CIF):
```
data_K4HfU3Te8
_symmetry_space_group_name_H-M 'P 1'
_symmetry_Int_Tables_number 1
_cell_length_a 9.791
_cell_length_b 9.791
_cell_length_c 9.791
_cell_angle_alpha 53.42
_cell_angle_beta 53.42
_cell_angle_gamma 53.42
loop_
_symmetry_equiv_pos_as_xyz
'x,y,z'
loop_
_atom_site_label
_atom_site_fract_x
_atom_site_fract_y
_atom_site_fract_z
K1 0.000 0.000 0.000
K2 0.000 0.500 0.500
K3 0.500 0.000 0.500
K4 0.500 0.500 0.000
Hf1 0.500 0.500 0.500
U1 0.000 0.000 0.500
U2 0.000 0.500 0.000
U3 0.500 0.000 0.000
Te1 0.239 0.239 0.239
Te2 0.253 0.727 0.727
Te3 0.273 0.273 0.747
Te4 0.273 0.747 0.273
Te5 0.727 0.253 0.727
Te6 0.727 0.727 0.253
Te7 0.747 0.273 0.273
Te8 0.761 0.761 0.761
```

Fermi-level density of states = 1.13 states/eV/atom
ΔE_f (raw) = -81.8 kJ/mol of atoms
energy = -5.431 eV per atom

## LiLa2Sc (PBE-GGA)

Data for a relaxed LiLa2Sc crystal.

Structure (CIF):
```
data_LiLa2Sc
_symmetry_space_group_name_H-M 'P 1'
_symmetry_Int_Tables_number 1
_cell_length_a 6.546
_cell_length_b 6.546
_cell_length_c 6.546
_cell_angle_alpha 147.24
_cell_angle_beta 129.12
_cell_angle_gamma 61.84
loop_
_symmetry_equiv_pos_as_xyz
'x,y,z'
loop_
_atom_site_label
_atom_site_fract_x
_atom_site_fract_y
_atom_site_fract_z
Li1 0.000 0.000 0.000
La1 0.228 0.728 0.500
La2 0.772 0.272 0.500
Sc1 0.500 0.500 0.000
```

energy of formation from the pure elements = 155 meV per atom
Fermi-level density of states = 1.17 states/eV/atom
distance to the lowest polymorph of the same formula = 67.2 meV/atom
energy = -4.370 eV per atom